(1)
Computed, not measured: CeErPd after structural relaxation at the PBE-GGA level of DFT.

SG ... P3m1

The structure in POSCAR format:
```
CeErPd
1.0
3.707 0.000 0.000
0.000 4.801 0.000
0.000 -2.401 4.158
Pd Ce Er
1 1 1
Cartesian
1.364 0.000 2.772
0.133 0.000 0.000
2.210 2.401 1.386
```

(2)
Computed, not measured: ZrBH after structural relaxation at the PBE-GGA level of DFT.

SG ... Cmcm

The structure in POSCAR format:
```
ZrBH
1.0
3.751 4.471 0.567
-5.470 -1.660 -1.307
-0.816 0.300 3.036
H B Zr
2 2 2
Cartesian
1.213 2.994 0.851
-3.748 0.117 1.444
-1.362 1.282 0.328
-1.173 1.829 1.967
-4.476 -0.788 -0.305
1.941 3.900 2.600
```

(3)
Computed, not measured: NaTcPt after structural relaxation at the PBE-GGA level of DFT.

SG ... Pmm2

The structure in POSCAR format:
```
NaTcPt
1.0
2.752 0.000 0.000
0.000 5.206 0.000
0.000 0.000 7.688
Pt Na Tc
2 2 2
Cartesian
1.376 0.000 1.571
1.376 2.603 5.463
0.000 0.000 6.561
0.000 2.603 0.745
0.000 4.095 3.671
0.000 1.111 3.671
```

(4)
Computed, not measured: MnSn2Pd6 after structural relaxation at the PBE-GGA level of DFT.

SG ... C2/m

The structure in POSCAR format:
```
MnSn2Pd6
1.0
-2.992 -0.470 -0.361
1.028 -7.263 0.929
0.055 4.614 6.586
Pd Mn Sn
6 1 2
Cartesian
-2.435 2.499 4.143
-0.772 -5.347 0.473
0.526 -5.618 3.011
-1.803 -1.967 4.714
-1.192 -2.386 0.095
-0.106 -1.153 2.440
0.000 0.000 0.000
-1.290 -3.618 2.566
-0.619 0.499 4.588
```

(5)
Computed, not measured: AcMg2Zn2Pt after structural relaxation at the PBE-GGA level of DFT.

SG ... I4/mmm

The structure in POSCAR format:
```
AcMg2Zn2Pt
1.0
4.279 0.000 0.000
0.000 4.279 0.000
-2.139 -2.139 8.635
Mg Pt Zn Ac
2 1 2 1
Cartesian
0.000 2.139 4.318
2.139 0.000 4.318
0.000 0.000 0.000
0.000 0.000 2.473
2.139 2.139 6.162
2.139 2.139 0.000
```

(6)
Computed, not measured: TeMoPb2Au after structural relaxation at the PBE-GGA level of DFT.

SG ... P4/mmm

The structure in POSCAR format:
```
TeMoPb2Au
1.0
-0.088 5.385 -2.730
-4.652 -1.064 -1.948
-2.598 2.430 4.878
Mo Pb Au Te
1 2 1 1
Cartesian
-3.669 3.376 0.100
-1.299 1.215 2.439
-0.044 2.692 -1.365
-2.326 -0.532 -0.974
0.000 0.000 0.000
```

(7)
Computed, not measured: Sm3HoTm6Sc2 after structural relaxation at the PBE-GGA level of DFT.

SG ... C2/m

The structure in POSCAR format:
```
Sm3HoTm6Sc2
1.0
6.053 0.001 0.000
-3.024 5.243 0.000
-1.008 -1.745 11.351
Tm Sc Sm Ho
6 2 3 1
Cartesian
2.014 3.487 2.752
2.033 0.004 2.751
-1.012 1.763 2.751
-0.012 3.494 8.600
0.007 0.011 8.599
3.033 1.736 8.600
3.027 1.748 0.000
0.001 3.496 0.000
4.033 0.003 5.675
1.010 1.749 5.675
-2.013 3.495 5.675
0.000 0.000 0.000
```

(8)
Computed, not measured: Ho4TaN5 after structural relaxation at the PBE-GGA level of DFT.

SG ... I4

The structure in POSCAR format:
```
Ho4TaN5
1.0
4.337 0.000 2.092
2.168 5.305 1.046
-0.136 0.000 5.824
Ho N Ta
4 5 1
Cartesian
5.128 4.246 6.001
2.495 2.127 5.918
1.248 1.059 2.963
3.880 3.178 3.047
2.912 4.317 5.089
3.491 0.988 3.888
1.756 3.319 1.944
4.647 1.986 7.034
2.000 0.000 0.965
0.134 0.000 0.065
```

(9)
Computed, not measured: DyPuSnPt after structural relaxation at the PBE-GGA level of DFT.

SG ... F-43m

The structure in POSCAR format:
```
DyPuSnPt
1.0
5.166 0.000 0.000
2.583 4.474 0.000
2.583 1.491 4.218
Pt Pu Dy Sn
1 1 1 1
Cartesian
7.748 4.474 3.163
0.000 0.000 0.000
5.166 2.982 2.109
2.583 1.491 1.054
```

(10)
Computed, not measured: LaAgMo3 after structural relaxation at the PBE-GGA level of DFT.

SG ... Pm-3m

The structure in POSCAR format:
```
LaAgMo3
1.0
4.776 0.000 0.000
0.000 4.776 0.000
0.000 0.000 4.776
Mo Ag La
3 1 1
Cartesian
0.000 0.000 2.388
2.388 0.000 0.000
0.000 2.388 0.000
2.388 2.388 2.388
0.000 0.000 0.000
```

(11)
Computed, not measured: InOsN2O after structural relaxation at the PBE-GGA level of DFT.

SG ... P4/mmm

The structure in POSCAR format:
```
InOsN2O
1.0
-1.957 3.333 0.620
-3.390 -1.934 -0.303
0.049 -0.704 3.945
In N Os O
1 2 1 1
Cartesian
-2.649 0.348 2.131
-1.695 -0.967 -0.151
-0.978 1.667 0.310
0.000 0.000 0.000
0.025 -0.352 1.972
```

(12)
Computed, not measured: RbInGeIr after structural relaxation at the PBE-GGA level of DFT.

SG ... P4/nmm

The structure in POSCAR format:
```
RbInGeIr
1.0
4.155 0.000 0.000
0.000 4.155 0.000
0.000 0.000 14.005
Ge Rb In Ir
2 2 2 2
Cartesian
1.039 1.039 1.371
3.116 3.116 12.634
3.116 3.116 3.354
1.039 1.039 10.650
3.116 1.039 7.002
1.039 3.116 7.002
1.039 3.116 0.000
3.116 1.039 0.000
```

(13)
Computed, not measured: TbPrOs after structural relaxation at the PBE-GGA level of DFT.

SG ... I4mm

The structure in POSCAR format:
```
TbPrOs
1.0
-2.599 0.532 -2.222
1.704 -1.792 -2.421
-2.566 -5.133 4.466
Os Pr Tb
1 1 1
Cartesian
-1.477 -2.598 -1.589
-0.245 -0.468 0.174
-1.739 -3.326 1.238
```

| no. | V (A^3/atom) | DFT total energy (eV/atom) | theoretical density (g cm⁻³) |
| --- | --- | --- | --- |
| 1 | 24.7 | -5.5237 | 9.3 |
| 2 | 10.0 | -6.9292 | 5.7 |
| 3 | 18.4 | -5.7775 | 9.5 |
| 4 | 17.5 | -5.6595 | 9.8 |
| 5 | 26.3 | -2.9232 | 6.3 |
| 6 | 37.6 | -3.6582 | 7.4 |
| 7 | 30.0 | -4.8123 | 7.9 |
| 8 | 13.5 | -8.7782 | 11.2 |
| 9 | 24.4 | -7.8535 | 12.3 |
| 10 | 21.8 | -5.8579 | 8.2 |
| 11 | 12.3 | -6.8017 | 9.4 |
| 12 | 30.2 | -4.4651 | 6.4 |
| 13 | 27.3 | -6.9681 | 9.9 |